[1]
First-principles (PBE) data for an optimized crystal structure of SrAl2Sb, as listed in Alexandria via LeMat-Bulk.

ρ = 4.02 Mg/m³
total DFT energy (no corrections) = -28.7 eV for the cell shown

Unit cell a=8.941 b=4.156 c=6.147 alpha=90.00 beta=107.77 gamma=90.00
Space group Cm (No. 8)
Unique sites:
Sr1 0.000 0.000 0.000 x2
Al1 0.017 0.500 0.568 x2
Al2 0.232 0.000 0.660 x2
Sb1 0.273 0.500 0.356 x2

***

[2]
First-principles (PBE) data for an optimized crystal structure of SrAlSb, as listed in Alexandria via LeMat-Bulk.

ρ = 4.23 Mg/m³
total DFT energy (no corrections) = -11.0 eV for the cell shown

Unit cell a=4.4394 b=4.4394 c=5.4396 alpha=90.00 beta=90.00 gamma=120.00
Space group P3m1 (No. 156)
Unique sites:
Sr1 0.0000 0.0000 0.0000 x1
Al1 0.6667 0.3333 0.3852 x1
Sb1 0.3333 0.6667 0.5881 x1

***

[3]
First-principles (PBE) data for an optimized crystal structure of Sr2AlSb, as listed in Alexandria via LeMat-Bulk.

ρ = 4.32 Mg/m³
energy above the lowest structure with this stoichiometry = 135.6 meV/atom

Unit cell a=5.102 b=5.102 c=9.570 alpha=90.00 beta=90.00 gamma=90.00
Space group I4/mmm (No. 139)
Unique sites:
Sr1 0.000 0.500 0.250 x4
Al1 0.000 0.000 0.000 x2
Sb1 0.000 0.000 0.500 x2

***

[4]
First-principles (PBE) data for an optimized crystal structure of SrAlSbTe2, as listed in Alexandria via LeMat-Bulk.

ρ = 3.56 Mg/m³
energy above the lowest structure with this stoichiometry = 853.1 meV/atom

Unit cell a=6.144 b=6.144 c=6.066 alpha=90.00 beta=90.00 gamma=90.00
Space group P4/mmm (No. 123)
Unique sites:
Sr1 0.000 0.000 0.000 x1
Al1 0.500 0.500 0.500 x1
Sb1 0.000 0.000 0.500 x1
Te1 0.000 0.500 0.000 x2

***

[5]
First-principles (PBE) data for an optimized crystal structure of SrAlSb2Te, as listed in Alexandria via LeMat-Bulk.

ρ = 3.61 Mg/m³
energy above the lowest structure with this stoichiometry = 895.3 meV/atom

Unit cell a=6.062 b=6.062 c=6.072 alpha=90.00 beta=90.00 gamma=90.00
Space group P4/mmm (No. 123)
Unique sites:
Sr1 0.000 0.000 0.000 x1
Al1 0.500 0.500 0.500 x1
Sb1 0.000 0.500 0.000 x2
Te1 0.000 0.000 0.500 x1

***

[6]
First-principles (PBE) data for an optimized crystal structure of SrAlSb2Te, as listed in Alexandria via LeMat-Bulk.

ρ = 5.04 Mg/m³
energy above the lowest structure with this stoichiometry = 0.0 meV/atom

Unit cell a=5.322 b=5.322 c=5.646 alpha=90.00 beta=90.00 gamma=90.00
Space group P4/mmm (No. 123)
Unique sites:
Sr1 0.000 0.000 0.000 x1
Al1 0.500 0.500 0.500 x1
Sb1 0.000 0.500 0.500 x2
Te1 0.500 0.500 0.000 x1

***

[7]
First-principles (PBE) data for an optimized crystal structure of SrAlSbTe2, as listed in Alexandria via LeMat-Bulk.

ρ = 5.02 Mg/m³
energy above the lowest structure with this stoichiometry = 0.0 meV/atom

Unit cell a=5.605 b=5.605 c=5.178 alpha=90.00 beta=90.00 gamma=90.00
Space group P4/mmm (No. 123)
Unique sites:
Sr1 0.000 0.000 0.000 x1
Al1 0.500 0.500 0.500 x1
Sb1 0.500 0.500 0.000 x1
Te1 0.000 0.500 0.500 x2

***

[8]
First-principles (PBE) data for an optimized crystal structure of SrAlTl2Sb2, as listed in Alexandria via LeMat-Bulk.

ρ = 6.79 Mg/m³
total DFT energy (no corrections) = -40.6 eV for the cell shown

Unit cell a=4.594 b=10.271 c=7.952 alpha=90.00 beta=90.00 gamma=90.00
Space group Pmc2_1 (No. 26)
Unique sites:
Sr1 0.000 0.090 0.000 x2
Al1 0.500 0.160 0.649 x2
Tl1 0.000 0.344 0.296 x2
Tl2 0.500 0.450 0.998 x2
Sb1 0.000 0.313 0.697 x2
Sb2 0.500 0.088 0.304 x2